Arrangement a

Rb2SrCd2 | GGA-PBE | relaxed

Summary:
- magnetization (μB/cell) = 0.0
- Fermi-level density of states (states/eV/cell) = 6.72

a = 8.8417 Å, b = 8.8417 Å, c = 6.1140 Å
α = 90.00°, β = 90.00°, γ = 90.00°
Fractional positions:
Rb (0.1716, 0.3284, 0.0000)
Rb (0.3284, 0.8284, 0.0000)
Rb (0.6716, 0.1716, 0.0000)
Rb (0.8284, 0.6716, 0.0000)
Sr (0.0000, 0.0000, 0.5000)
Sr (0.5000, 0.5000, 0.5000)
Cd (0.1198, 0.6198, 0.5000)
Cd (0.3802, 0.1198, 0.5000)
Cd (0.6198, 0.8802, 0.5000)
Cd (0.8802, 0.3802, 0.5000)

Arrangement b

Rb2SrCd2 | GGA-PBE | relaxed

Summary:
- magnetization (μB/cell) = 0.0
- Fermi-level density of states (states/eV/cell) = 3.83

a = 9.0815 Å, b = 9.0815 Å, c = 9.0815 Å
α = 146.22°, β = 146.22°, γ = 48.52°
Fractional positions:
Rb (0.2500, 0.7500, 0.5000)
Rb (0.7500, 0.2500, 0.5000)
Sr (0.0000, 0.0000, 0.0000)
Cd (0.4140, 0.4140, 0.0000)
Cd (0.5860, 0.5860, 0.0000)

Arrangement c

Rb2SrCd2 | GGA-PBE | relaxed

Summary:
- magnetization (μB/cell) = 0.0
- Fermi-level density of states (states/eV/cell) = 15.81

a = 10.5556 Å, b = 10.5556 Å, c = 4.0955 Å
α = 90.00°, β = 90.00°, γ = 90.00°
Fractional positions:
Rb (0.1271, 0.3729, 0.0000)
Rb (0.3729, 0.8729, 0.0000)
Rb (0.6271, 0.1271, 0.0000)
Rb (0.8729, 0.6271, 0.0000)
Sr (0.0000, 0.0000, 0.0000)
Sr (0.5000, 0.5000, 0.0000)
Cd (0.1749, 0.6749, 0.5000)
Cd (0.3251, 0.1749, 0.5000)
Cd (0.6749, 0.8251, 0.5000)
Cd (0.8251, 0.3251, 0.5000)

Stability, highest: arrangement a

Arrangement a

RbSrCd2 | GGA-PBE | relaxed

Summary:
- magnetization (μB/cell) = 0.0
- Fermi-level density of states (states/eV/cell) = 4.19

a = 5.9904 Å, b = 5.9904 Å, c = 5.9904 Å
α = 60.00°, β = 60.00°, γ = 60.00°
Fractional positions:
Rb (0.0000, 0.0000, 0.0000)
Sr (0.5000, 0.5000, 0.5000)
Cd (0.2500, 0.2500, 0.2500)
Cd (0.7500, 0.7500, 0.7500)

Arrangement b

RbSrCd2 | GGA-PBE | relaxed

Summary:
- magnetization (μB/cell) = 0.0
- Fermi-level density of states (states/eV/cell) = 3.36

a = 4.1388 Å, b = 4.1388 Å, c = 9.0617 Å
α = 90.00°, β = 90.00°, γ = 90.00°
Fractional positions:
Rb (0.0000, 0.0000, 0.0000)
Sr (0.0000, 0.0000, 0.5000)
Cd (0.5000, 0.5000, 0.2927)
Cd (0.5000, 0.5000, 0.7073)

Stability, highest: arrangement b